Entry 1:
This record from the Alexandria database describes crystalline KLi at its relaxed geometry. The functional is PBE.

Cell lengths 4.079, 4.079, 6.198 Å; angles 90.00, 90.00, 120.00 degrees
Positions (direct):
K (0.000, 0.000, 0.000)
Li (0.667, 0.333, 0.500)

Summary:
V   44.7 Å³/atom
SG   No. 187
ΔE_f   216 meV/atom
Density of states at the Fermi level   0.608 states/eV/atom
Mass density   856 kg/m3


Entry 2:
This record from the Alexandria database describes crystalline K4Li5 at its relaxed geometry. The functional is PBE.

Cell lengths 9.004, 9.004, 9.004 Å; angles 95.00, 95.00, 145.66 degrees
Positions (direct):
K (0.000, 0.302, 0.302)
K (0.000, 0.698, 0.698)
K (0.302, 0.000, 0.302)
K (0.698, 0.000, 0.698)
Li (0.000, 0.000, 0.000)
Li (0.378, 0.378, 0.755)
Li (0.378, 0.622, 0.000)
Li (0.622, 0.378, 0.000)
Li (0.622, 0.622, 0.245)

Summary:
V   43.7 Å³/atom
SG   No. 139
ΔE_f   151 meV/atom
Density of states at the Fermi level   0.418 states/eV/atom
Mass density   807 kg/m3


Entry 3:
This record from the Alexandria database describes crystalline KLi2 at its relaxed geometry. The functional is PBE.

Cell lengths 4.013, 4.013, 13.207 Å; angles 90.00, 90.00, 90.00 degrees
Positions (direct):
K (0.000, 0.000, 0.000)
K (0.500, 0.500, 0.500)
Li (0.000, 0.000, 0.289)
Li (0.000, 0.000, 0.711)
Li (0.500, 0.500, 0.211)
Li (0.500, 0.500, 0.789)

Summary:
V   35.5 Å³/atom
SG   No. 139
ΔE_f   128 meV/atom
Density of states at the Fermi level   0.643 states/eV/atom
Mass density   827 kg/m3


Entry 4:
This record from the Alexandria database describes crystalline KLi2 at its relaxed geometry. The functional is PBE.

Cell lengths 8.143, 8.143, 8.143 Å; angles 90.00, 90.00, 90.00 degrees
Positions (direct):
K (0.000, 0.000, 0.000)
K (0.000, 0.500, 0.500)
K (0.500, 0.000, 0.500)
K (0.500, 0.500, 0.000)
Li (0.250, 0.250, 0.250)
Li (0.250, 0.250, 0.750)
Li (0.250, 0.750, 0.250)
Li (0.250, 0.750, 0.750)
Li (0.750, 0.250, 0.250)
Li (0.750, 0.250, 0.750)
Li (0.750, 0.750, 0.250)
Li (0.750, 0.750, 0.750)

Summary:
V   45.0 Å³/atom
SG   No. 225
ΔE_f   438 meV/atom
Density of states at the Fermi level   0.681 states/eV/atom
Mass density   652 kg/m3


Entry 5:
This record from the Alexandria database describes crystalline KLi2 at its relaxed geometry. The functional is PBE.

Cell lengths 6.756, 5.294, 12.564 Å; angles 90.00, 90.00, 90.00 degrees
Positions (direct):
K (0.113, 0.250, 0.132)
K (0.387, 0.750, 0.632)
K (0.613, 0.250, 0.368)
K (0.887, 0.750, 0.868)
Li (0.100, 0.250, 0.472)
Li (0.158, 0.750, 0.333)
Li (0.342, 0.250, 0.833)
Li (0.400, 0.750, 0.972)
Li (0.600, 0.250, 0.028)
Li (0.658, 0.750, 0.167)
Li (0.842, 0.250, 0.667)
Li (0.900, 0.750, 0.528)

Summary:
V   37.4 Å³/atom
SG   No. 62
ΔE_f   155 meV/atom
Density of states at the Fermi level   0.578 states/eV/atom
Mass density   783 kg/m3


Entry 6:
This record from the Alexandria database describes crystalline K7Li at its relaxed geometry. The functional is PBE.

Cell lengths 9.052, 9.052, 9.052 Å; angles 60.00, 60.00, 60.00 degrees
Positions (direct):
K (0.000, 0.000, 0.000)
K (0.000, 0.000, 0.500)
K (0.000, 0.500, 0.000)
K (0.000, 0.500, 0.500)
K (0.500, 0.000, 0.000)
K (0.500, 0.000, 0.500)
K (0.500, 0.500, 0.000)
Li (0.500, 0.500, 0.500)

Summary:
V   65.5 Å³/atom
SG   No. 225
ΔE_f   69 meV/atom
Density of states at the Fermi level   0.866 states/eV/atom
Mass density   889 kg/m3


Question: density of states at the Fermi level of number 1 (KLi)?
Answer: 0.608 states/eV/atom


Question: Which of these has the highest mass density?
Answer: K7Li